SrInAs2Se8 | PBE-GGA | optimized geometry

Cell: 6.2086 6.2086 9.7526 Å, 90.00 90.00 120.00°
With the nearest neighbours (Å) after each atom.
Space group P-3 (No. 147)
Symmetry-distinct sites (fractional):
Sr (0.0000, 0.0000, 0.0000)  12 Se 3.59-3.74
In (0.0000, 0.0000, 0.5000)  6 Se 2.82
As (0.3333, 0.6667, 0.7521)  4 Se 2.32-2.43
Se (0.0628, 0.6894, 0.3135)  1 As 2.43
Se (0.3333, 0.6667, 0.9902)  1 As 2.32

* M_tot: 0.000 μB per formula unit
* total DFT energy (no corrections): -45.5 eV for the cell shown
* formation energy (no corrections): -0.325 eV/atom